Record 1
VASP calculation (meta-GGA SCAN) on a crystal of TcSbTeI2 relaxed with PBEsol.

N(E_F): 0.540 states/eV/atom
E_form (uncorrected): 1216 meV/atom
excess energy over the best structure of this formula in the dataset: 0.644 eV per atom
theoretical density: 5.14 Mg/m³

POSCAR file:
```
TcSbTeI2
1.0
-3.9023 -3.4602 2.4653
4.0234 -1.9343 3.6537
-1.3813 4.2412 3.7663
I Sb Te Tc
2 1 1 1
Direct
0.0000 0.5000 0.0000
0.5000 0.0000 0.0000
0.0000 0.0000 0.5000
0.0000 0.0000 0.0000
0.5000 0.5000 0.5000
```



Record 2
VASP calculation (meta-GGA SCAN) on a crystal of CuPAu3 relaxed with PBEsol.

formation energy from the elements: 0.475 eV per atom
N(E_F): 0.356 states/eV/atom
theoretical density: 11.67 Mg/m³

POSCAR file:
```
CuPAu3
1.0
-3.8074 1.5766 2.0508
0.2781 -3.3786 3.1137
2.5717 2.6994 2.6994
P Au Cu
1 3 1
Direct
0.0000 0.0000 0.0000
0.0000 0.5000 0.0000
0.0000 0.0000 0.5000
0.5000 0.0000 0.0000
0.5000 0.5000 0.5000
```



Record 3
VASP calculation (meta-GGA SCAN) on a crystal of Ca2Mn2V3AgO12 relaxed with PBEsol.

E_form (uncorrected): -2594 meV/atom
theoretical density: 4.45 Mg/m³

POSCAR file:
```
Ca2Mn2V3AgO12
1.0
10.7638 -0.0458 0.0000
-3.5530 10.1606 0.0000
-3.6054 -5.0574 8.7912
Ca Mn V Ag O
8 8 12 4 48
Direct
0.3750 0.5036 0.6286
0.7536 0.6250 0.6286
0.3750 0.0036 0.1286
0.9964 0.1250 0.3714
0.2536 0.6250 0.1286
0.8750 0.7464 0.3714
0.4964 0.1250 0.8714
0.8750 0.2464 0.8714
0.6250 0.3750 0.7500
0.6250 0.8750 0.7500
0.1250 0.8750 0.7500
0.6250 0.3750 0.2500
0.6250 0.8750 0.2500
0.1250 0.3750 0.2500
0.1250 0.8750 0.2500
0.1250 0.3750 0.7500
0.2472 0.1250 0.6222
0.8750 0.9972 0.6222
0.2500 0.7500 0.5000
0.7500 0.2500 0.5000
0.3750 0.2528 0.3778
0.5028 0.6250 0.3778
0.7472 0.1250 0.1222
0.8750 0.4972 0.1222
0.5000 0.5000 0.0000
0.0000 0.0000 0.0000
0.3750 0.7528 0.8778
0.0028 0.6250 0.8778
0.5000 0.0000 0.5000
0.0000 0.5000 0.5000
0.2500 0.2500 0.0000
0.7500 0.7500 0.0000
0.4298 0.8888 0.6550
0.2305 0.5695 0.7406
0.2103 0.2724 0.6282
0.4305 0.1711 0.6610
0.7305 0.9900 0.6610
0.7252 0.2662 0.6550
0.5224 0.3943 0.5621
0.3289 0.0695 0.3390
0.2276 0.2897 0.3718
0.2252 0.5702 0.4590
0.0100 0.6711 0.7406
0.8321 0.9603 0.4379
0.5397 0.6679 0.5621
0.9298 0.2748 0.5410
0.6112 0.0702 0.3450
0.1057 0.9776 0.4379
0.7338 0.3888 0.4590
0.9179 0.8557 0.6282
0.2338 0.7748 0.3450
0.4211 0.2600 0.2406
0.3195 0.4805 0.2406
0.6443 0.5821 0.3718
0.5100 0.7695 0.3390
0.1388 0.9838 0.9590
0.7400 0.9805 0.1610
0.1112 0.7662 0.5410
0.6057 0.1679 0.1282
0.9305 0.2695 0.2594
0.8289 0.4900 0.2594
0.0162 0.9752 0.1550
0.3321 0.8943 0.8718
0.5162 0.3612 0.0410
0.1443 0.7724 0.0621
0.6388 0.6798 0.1550
0.3202 0.4752 0.9590
0.7103 0.0821 0.9379
0.4179 0.7897 0.0621
0.2400 0.0789 0.7594
0.0248 0.1798 0.0410
0.0224 0.4603 0.1282
0.9211 0.6805 0.1610
0.7276 0.3557 0.9379
0.5248 0.4838 0.8450
0.5195 0.7600 0.8390
0.8195 0.5789 0.8390
0.0397 0.4776 0.8718
0.0195 0.1805 0.7594
0.8202 0.8612 0.8450
```



Record 4
VASP calculation (meta-GGA SCAN) on a crystal of BiHPd3 relaxed with PBEsol.

N(E_F): 0.791 states/eV/atom
total energy: -181.0 eV per formula unit
theoretical density: 12.56 Mg/m³

POSCAR file:
```
BiHPd3
1.0
4.1203 0.0000 0.0000
0.0000 4.1203 0.0000
0.0000 0.0000 4.1203
H Bi Pd
1 1 3
Direct
0.0000 0.0000 0.0000
0.5000 0.5000 0.5000
0.0000 0.5000 0.0000
0.0000 0.0000 0.5000
0.5000 0.0000 0.0000
```



Record 5
VASP calculation (meta-GGA SCAN) on a crystal of Sc5Pt relaxed with PBEsol.

formation energy from the elements: -0.510 eV per atom
N(E_F): 1.144 states/eV/atom
excess energy over the best structure of this formula in the dataset: 0.000 eV per atom
theoretical density: 5.45 Mg/m³

POSCAR file:
```
Sc5Pt
1.0
-2.6038 1.3456 -1.6863
-1.4560 -0.1168 5.5454
4.0715 6.0206 -1.4823
Sc Pt
5 1
Direct
0.1417 0.2834 0.3635
0.8342 0.6684 0.2013
0.5000 0.0000 0.0000
0.1658 0.3316 0.7987
0.8583 0.7166 0.6365
0.5000 0.0000 0.5000
```



Record 6
VASP calculation (meta-GGA SCAN) on a crystal of Sc5Si10Rh4 relaxed with PBEsol.

N(E_F): 0.370 states/eV/atom
E_form (uncorrected): -906 meV/atom
theoretical density: 5.04 Mg/m³

POSCAR file:
```
Sc5Si10Rh4
1.0
4.0138 0.0000 0.0000
0.0000 12.2697 0.0000
0.0000 0.0000 12.2697
Sc Si Rh
10 20 8
Direct
0.0000 0.5000 0.5000
0.0000 0.0000 0.0000
0.5000 0.6747 0.1747
0.5000 0.3253 0.8253
0.5000 0.1747 0.3253
0.5000 0.8253 0.6747
0.5000 0.8856 0.3856
0.5000 0.1144 0.6144
0.5000 0.3856 0.1144
0.5000 0.6144 0.8856
0.0000 0.5660 0.0660
0.0000 0.4340 0.9340
0.0000 0.0660 0.4340
0.0000 0.9340 0.5660
0.0000 0.6638 0.6995
0.0000 0.3362 0.3005
0.0000 0.1638 0.8005
0.0000 0.8362 0.1995
0.0000 0.3005 0.6638
0.0000 0.6995 0.3362
0.0000 0.1995 0.1638
0.0000 0.8005 0.8362
0.5000 0.6542 0.5022
0.5000 0.3458 0.4978
0.5000 0.1542 0.9978
0.5000 0.8458 0.0022
0.5000 0.4978 0.6542
0.5000 0.5022 0.3458
0.5000 0.0022 0.1542
0.5000 0.9978 0.8458
0.0000 0.7467 0.5200
0.0000 0.2533 0.4800
0.0000 0.2467 0.9800
0.0000 0.7533 0.0200
0.0000 0.4800 0.7467
0.0000 0.5200 0.2533
0.0000 0.0200 0.2467
0.0000 0.9800 0.7533
```



Record 7
VASP calculation (meta-GGA SCAN) on a crystal of CdIrSe2 relaxed with PBEsol.

N(E_F): 0.408 states/eV/atom
E_form (uncorrected): -86 meV/atom
theoretical density: 8.11 Mg/m³

POSCAR file:
```
CdIrSe2
1.0
4.4362 0.0000 0.0000
0.0000 4.4244 0.0000
0.0000 0.0000 4.8240
Cd Ir Se
1 1 2
Direct
0.0000 0.0000 0.4998
0.5000 0.5000 0.9993
0.5000 0.0000 0.1896
0.0000 0.5000 0.8114
```



Record 8
VASP calculation (meta-GGA SCAN) on a crystal of BaYBr5 relaxed with PBEsol.

N(E_F): 0.000 states/eV/atom
E_form (uncorrected): -2185 meV/atom
theoretical density: 3.64 Mg/m³

POSCAR file:
```
BaYBr5
1.0
7.8706 0.0130 -0.0089
2.6487 7.4116 -0.0089
3.7943 2.6780 9.7981
Ba Y Br
2 2 10
Direct
0.5591 0.4409 0.2500
0.4409 0.5591 0.7500
0.0000 0.0000 0.0000
0.0000 0.0000 0.5000
0.7877 0.7478 0.1220
0.2872 0.6814 0.4717
0.7478 0.7877 0.6220
0.9232 0.0768 0.2500
0.3186 0.7128 0.0283
0.6814 0.2872 0.9717
0.0768 0.9232 0.7500
0.2522 0.2123 0.3780
0.7128 0.3186 0.5283
0.2123 0.2522 0.8780
```



Record 9
VASP calculation (meta-GGA SCAN) on a crystal of Tl2AgP relaxed with PBEsol.

formation energy from the elements: 0.242 eV per atom
N(E_F): 0.398 states/eV/atom
excess energy over the best structure of this formula in the dataset: 0.180 eV per atom
theoretical density: 10.04 Mg/m³

POSCAR file:
```
Tl2AgP
1.0
-1.4999 -2.9715 -0.4414
1.9198 -0.5686 -2.6955
5.5286 -3.4849 4.6727
Ag P Tl
1 1 2
Direct
0.0000 0.0000 0.5599
0.5000 0.5000 0.6932
0.0000 0.0000 0.9560
0.5000 0.5000 0.2909
```



Record 10
VASP calculation (meta-GGA SCAN) on a crystal of ZrMnPb2 relaxed with PBEsol.

formation energy from the elements: -0.046 eV per atom
N(E_F): 0.684 states/eV/atom
excess energy over the best structure of this formula in the dataset: 0.111 eV per atom
theoretical density: 10.11 Mg/m³

POSCAR file:
```
ZrMnPb2
1.0
3.2067 0.0000 0.0000
0.0000 3.2067 0.0000
0.0000 0.0000 8.9544
Mn Pb Zr
1 2 1
Direct
0.5000 0.5000 0.7302
0.0000 0.0000 0.9461
0.5000 0.5000 0.2806
0.0000 0.0000 0.5431
```



Record 11
VASP calculation (meta-GGA SCAN) on a crystal of TiBeSi3 relaxed with PBEsol.

N(E_F): 0.897 states/eV/atom
E_form (uncorrected): 765 meV/atom
theoretical density: 3.15 Mg/m³

POSCAR file:
```
TiBeSi3
1.0
-0.1024 3.7736 -1.8579
-3.6001 -1.0396 -1.9133
-2.1751 1.5432 3.2542
Be Si Ti
1 3 1
Direct
0.0000 0.0000 0.0000
0.0000 0.5000 0.0000
0.0000 0.0000 0.5000
0.5000 0.0000 0.0000
0.5000 0.5000 0.5000
```



Record 12
VASP calculation (meta-GGA SCAN) on a crystal of OsRuSe2Br relaxed with PBEsol.

N(E_F): 0.868 states/eV/atom
E_form (uncorrected): 1223 meV/atom
theoretical density: 7.69 Mg/m³

POSCAR file:
```
OsRuSe2Br
1.0
-0.1813 -2.8876 3.7129
4.7002 -0.2540 0.0320
0.1979 4.0614 3.1683
Ru Os Se Br
1 1 2 1
Direct
0.5000 0.5000 0.5000
0.0000 0.0000 0.0000
0.0000 0.5000 0.0000
0.5000 0.0000 0.0000
0.0000 0.0000 0.5000
```